[1]
First-principles (PBE-GGA) data for VFe after structural relaxation, as listed in Alexandria.

Computed properties:
Density (g/cm³): 7.3
DFT total energy (eV per atom): -8.8553
Energy of formation (meV/atom): -65

Unit cell a=4.110 b=4.110 c=5.714 alpha=90.00 beta=90.00 gamma=90.00
Atoms (fractional coordinates):
V 0.250 0.250 0.220
V 0.250 0.750 0.500
V 0.750 0.250 0.500
V 0.750 0.750 0.780
Fe 0.250 0.250 0.729
Fe 0.250 0.750 0.000
Fe 0.750 0.250 0.000
Fe 0.750 0.750 0.271

=====

[2]
First-principles (PBE-GGA) data for K2SrTiPb after structural relaxation, as listed in Alexandria.

Computed properties:
Density (g/cm³): 2.5
DFT total energy (eV per atom): -2.2028
Energy of formation (meV/atom): 893

Unit cell a=6.619 b=6.619 c=6.456 alpha=90.00 beta=90.00 gamma=90.00
Atoms (fractional coordinates):
K 0.000 0.500 0.000
K 0.500 0.000 0.000
Sr 0.000 0.000 0.500
Ti 0.500 0.500 0.500
Pb 0.000 0.000 0.000

=====

[3]
First-principles (PBE-GGA) data for Rb2SrTlCl5 after structural relaxation, as listed in Alexandria.

Computed properties:
Density (g/cm³): 2.9
DFT total energy (eV per atom): -3.5398
E_form (uncorrected) (eV/atom): -1.8491

Unit cell a=5.540 b=5.540 c=11.788 alpha=90.00 beta=90.00 gamma=90.00
Atoms (fractional coordinates):
Rb 0.000 0.000 0.223
Rb 0.000 0.000 0.777
Sr 0.500 0.500 0.000
Tl 0.500 0.500 0.500
Cl 0.000 0.000 0.500
Cl 0.000 0.500 0.000
Cl 0.500 0.000 0.000
Cl 0.500 0.500 0.244
Cl 0.500 0.500 0.756

=====

[4]
First-principles (PBE-GGA) data for K2Sb2I after structural relaxation, as listed in Alexandria.

Computed properties:
Density (g/cm³): 3.6
DFT total energy (eV per atom): -2.8878
E_form (uncorrected) (eV/atom): -0.4898

Unit cell a=9.427 b=9.427 c=4.698 alpha=90.00 beta=90.00 gamma=90.00
Atoms (fractional coordinates):
K 0.196 0.304 0.000
K 0.304 0.804 0.000
K 0.696 0.196 0.000
K 0.804 0.696 0.000
Sb 0.098 0.598 0.500
Sb 0.402 0.098 0.500
Sb 0.598 0.902 0.500
Sb 0.902 0.402 0.500
I 0.000 0.000 0.500
I 0.500 0.500 0.500

=====

[5]
First-principles (PBE-GGA) data for InCuRhAu after structural relaxation, as listed in Alexandria.

Computed properties:
Density (g/cm³): 12.3
DFT total energy (eV per atom): -4.5680
Energy of formation (meV/atom): -202

Unit cell a=3.872 b=3.929 c=4.260 alpha=90.00 beta=90.00 gamma=90.00
Atoms (fractional coordinates):
In 0.000 0.000 0.000
Cu 0.000 0.500 0.500
Rh 0.500 0.500 0.000
Au 0.500 0.000 0.500

=====

[6]
First-principles (PBE-GGA) data for Ta3VGe after structural relaxation, as listed in Alexandria.

Computed properties:
Density (g/cm³): 13.0
DFT total energy (eV per atom): -9.8088
Energy of formation (meV/atom): 50

Unit cell a=7.267 b=7.267 c=9.052 alpha=97.02 beta=97.02 gamma=46.08
Atoms (fractional coordinates):
Ta 0.148 0.197 0.207
Ta 0.183 0.744 0.569
Ta 0.197 0.148 0.707
Ta 0.256 0.817 0.931
Ta 0.374 0.375 0.315
Ta 0.375 0.374 0.815
Ta 0.625 0.626 0.185
Ta 0.626 0.625 0.685
Ta 0.744 0.183 0.069
Ta 0.803 0.852 0.293
Ta 0.817 0.256 0.431
Ta 0.852 0.803 0.793
V 0.095 0.591 0.053
V 0.409 0.905 0.447
V 0.591 0.095 0.553
V 0.905 0.409 0.947
Ge 0.000 0.500 0.500
Ge 0.159 0.841 0.250
Ge 0.500 0.000 0.000
Ge 0.841 0.159 0.750

=====

[7]
First-principles (PBE-GGA) data for KRb2AgSn after structural relaxation, as listed in Alexandria.

Computed properties:
Density (g/cm³): 2.9
DFT total energy (eV per atom): -1.9570
Energy of formation (meV/atom): 20

Unit cell a=6.804 b=6.804 c=5.329 alpha=90.00 beta=90.00 gamma=90.00
Atoms (fractional coordinates):
K 0.000 0.000 0.000
Rb 0.000 0.500 0.500
Rb 0.500 0.000 0.500
Ag 0.500 0.500 0.500
Sn 0.500 0.500 0.000

=====

[8]
First-principles (PBE-GGA) data for TcNi2Hg after structural relaxation, as listed in Alexandria.

Computed properties:
Density (g/cm³): 11.9
DFT total energy (eV per atom): -5.1448
Energy of formation (meV/atom): 413

Unit cell a=8.799 b=8.799 c=8.799 alpha=18.23 beta=18.23 gamma=18.23
Atoms (fractional coordinates):
Tc 0.000 0.000 0.000
Ni 0.258 0.258 0.258
Ni 0.518 0.518 0.518
Hg 0.764 0.764 0.764

=====

[9]
First-principles (PBE-GGA) data for SrPdS2N after structural relaxation, as listed in Alexandria.

Computed properties:
Density (g/cm³): 3.3
DFT total energy (eV per atom): -3.3203
E_form (uncorrected) (eV/atom): 1.3706

Unit cell a=5.530 b=5.530 c=4.444 alpha=90.00 beta=90.00 gamma=90.00
Atoms (fractional coordinates):
Sr 0.000 0.000 0.000
Pd 0.500 0.500 0.500
S 0.000 0.500 0.000
S 0.500 0.000 0.000
N 0.000 0.000 0.500

=====

[10]
First-principles (PBE-GGA) data for NbAlGe after structural relaxation, as listed in Alexandria.

Computed properties:
Density (g/cm³): 6.5
DFT total energy (eV per atom): -6.5253
Energy of formation (meV/atom): -382

Unit cell a=6.237 b=5.002 c=5.186 alpha=75.48 beta=50.93 gamma=53.60
Atoms (fractional coordinates):
Nb 0.000 0.000 0.000
Nb 0.250 0.250 0.250
Al 0.337 0.337 0.663
Al 0.587 0.587 0.913
Ge 0.668 0.668 0.332
Ge 0.918 0.918 0.582

=====

[11]
First-principles (PBE-GGA) data for CeThI2 after structural relaxation, as listed in Alexandria.

Computed properties:
Density (g/cm³): 7.3
DFT total energy (eV per atom): -4.6515
E_form (uncorrected) (eV/atom): -0.5381

Unit cell a=11.510 b=11.510 c=11.510 alpha=19.03 beta=19.03 gamma=19.03
Atoms (fractional coordinates):
Ce 0.000 0.000 0.000
Th 0.500 0.500 0.500
I 0.097 0.097 0.097
I 0.903 0.903 0.903

=====

What did the fourth record say?
First-principles (PBE-GGA) data for K2Sb2I after structural relaxation, as listed in Alexandria.

Computed properties:
Density (g/cm³): 3.6
DFT total energy (eV per atom): -2.8878
E_form (uncorrected) (eV/atom): -0.4898

Unit cell a=9.427 b=9.427 c=4.698 alpha=90.00 beta=90.00 gamma=90.00
Atoms (fractional coordinates):
K 0.196 0.304 0.000
K 0.304 0.804 0.000
K 0.696 0.196 0.000
K 0.804 0.696 0.000
Sb 0.098 0.598 0.500
Sb 0.402 0.098 0.500
Sb 0.598 0.902 0.500
Sb 0.902 0.402 0.500
I 0.000 0.000 0.500
I 0.500 0.500 0.500

=====

> Look up the density of the tenth one.

6.5 g/cm³